No. 1
Entry from Alexandria via LeMat-Bulk: Ca2YMo after structural relaxation (GGA-PBE).

a b c (Å): 6.135 6.135 3.249
angles (deg): 90.00 90.00 117.64
Element x y z (fractional)
1 Ca 0.000 0.500 0.000
2 Ca 0.500 0.000 0.000
3 Y 0.000 0.000 0.500
4 Mo 0.500 0.500 0.500

energy relative to the lowest polymorph listed for this composition: 0.3006 eV per atom
ΔE_f: 0.73 eV/atom
space-group type: Cmmm (65)
final energy: -4.59 eV per atom



No. 2
Entry from Alexandria via LeMat-Bulk: Sm2ErPuSb4 after structural relaxation (GGA-PBE).

a b c (Å): 7.669 4.439 7.677
angles (deg): 90.00 109.42 90.00
Element x y z (fractional)
1 Sm 0.000 0.000 0.000
2 Sm 0.500 0.500 0.000
3 Er 0.000 0.500 0.500
4 Pu 0.500 0.000 0.500
5 Sb 0.246 0.000 0.743
6 Sb 0.250 0.500 0.256
7 Sb 0.750 0.500 0.744
8 Sb 0.754 0.000 0.257

space-group type: P2/m (10)
final energy: -6.60 eV per atom
energy relative to the elements, uncorrected: -773 kJ/mol of formula units



No. 3
Entry from Alexandria via LeMat-Bulk: Zr3CdC after structural relaxation (GGA-PBE).

a b c (Å): 9.085 9.085 4.785
angles (deg): 99.77 99.77 89.48
Element x y z (fractional)
1 Zr 0.001 0.823 0.928
2 Zr 0.103 0.567 0.267
3 Zr 0.177 0.999 0.572
4 Zr 0.207 0.356 0.705
5 Zr 0.356 0.207 0.205
6 Zr 0.433 0.897 0.233
7 Zr 0.567 0.103 0.767
8 Zr 0.644 0.793 0.795
9 Zr 0.793 0.644 0.295
10 Zr 0.823 0.001 0.428
11 Zr 0.897 0.433 0.733
12 Zr 0.999 0.177 0.072
13 Cd 0.312 0.688 0.750
14 Cd 0.439 0.561 0.250
15 Cd 0.561 0.439 0.750
16 Cd 0.688 0.312 0.250
17 C 0.005 0.193 0.584
18 C 0.193 0.005 0.084
19 C 0.807 0.995 0.916
20 C 0.995 0.807 0.416

energy relative to the lowest polymorph listed for this composition: 0.2396 eV per atom
ΔE_f: -0.19 eV/atom
space-group type: C2/c (15)
final energy: -7.35 eV per atom



No. 4
Entry from Alexandria via LeMat-Bulk: Mg2Tl4In5 after structural relaxation (GGA-PBE).

a b c (Å): 11.843 11.843 8.379
angles (deg): 107.15 107.15 15.90
Element x y z (fractional)
1 Mg 0.069 0.069 0.382
2 Mg 0.931 0.931 0.618
3 Tl 0.142 0.142 0.107
4 Tl 0.442 0.442 0.293
5 Tl 0.558 0.558 0.707
6 Tl 0.858 0.858 0.893
7 In 0.000 0.000 0.000
8 In 0.295 0.295 0.148
9 In 0.310 0.310 0.518
10 In 0.690 0.690 0.482
11 In 0.705 0.705 0.852

ΔE_f: 0.03 eV/atom
space-group type: C2/m (12)
final energy: -2.36 eV per atom